[1]
LiLaY2: optimized geometry, GGA-PBEsol.

The density of states at the Fermi level is 5.96 states/eV per cell. As for the calculated total energy: -5.16 eV per atom. The calculation puts the total magnetization at 0.001 μB/f.u. Its energy relative to the lowest polymorph listed for this composition is 0 meV/atom.

The space group is P4/mmm (No. 123) and the conventional cell measures 3.645, 3.645 and 8.615 Å, with angles of 90.00, 90.00 and 90.00 degrees. The asymmetric unit holds Li at (0.000, 0.000, 0.000), La at (0.000, 0.000, 0.500) and Y at (0.500, 0.500, 0.216).



[2]
Mg2ScMn: optimized geometry, GGA-PBEsol.

The density of states at the Fermi level is 2.21 states/eV per cell. As for the calculated total energy: -4.85 eV per atom. The calculation puts the total magnetization at 2.671 μB/f.u. Its energy relative to the lowest polymorph listed for this composition is 0 meV/atom.

The space group is P4mm (No. 99) and the conventional cell measures 3.103, 3.103 and 8.077 Å, with angles of 90.00, 90.00 and 90.00 degrees. The asymmetric unit holds Mg at (0.000, 0.000, 0.000), Mg at (0.500, 0.500, 0.278), Sc at (0.500, 0.500, 0.702) and Mn at (0.000, 0.000, 0.494).



[3]
ReMoAu2: optimized geometry, GGA-PBEsol.

The density of states at the Fermi level is 5.72 states/eV per cell. As for the calculated total energy: -7.91 eV per atom. The calculation puts the total magnetization at 0.000 μB/f.u. Its energy relative to the lowest polymorph listed for this composition is 93 meV/atom.

The space group is I-4m2 (No. 119) and the conventional cell measures 3.984, 3.984 and 7.855 Å, with angles of 90.00, 90.00 and 90.00 degrees. The asymmetric unit holds Re at (0.000, 0.000, 0.000), Mo at (0.000, 0.500, 0.750), Au at (0.000, 0.000, 0.500) and Au at (0.000, 0.500, 0.250).



[4]
CaGeP2O: optimized geometry, GGA-PBEsol.

The density of states at the Fermi level is 5.00 states/eV per cell. As for the calculated total energy: -4.18 eV per atom. The calculation puts the total magnetization at 0.002 μB/f.u. The formation energy without anion corrections is 3.0 eV per formula unit.

The space group is P4/mmm (No. 123) and the conventional cell measures 5.196, 5.196 and 4.027 Å, with angles of 90.00, 90.00 and 90.00 degrees. The asymmetric unit holds Ca at (0.000, 0.000, 0.000), Ge at (0.500, 0.500, 0.500), P at (0.000, 0.500, 0.000) and O at (0.000, 0.000, 0.500).



[5]
Ta2MnAgCl: optimized geometry, GGA-PBEsol.

The density of states at the Fermi level is 3.48 states/eV per cell. As for the calculated total energy: -6.86 eV per atom. The calculation puts the total magnetization at 3.784 μB/f.u. The formation energy without anion corrections is 5.9 eV per formula unit.

The space group is P4/mmm (No. 123) and the conventional cell measures 4.448, 4.448 and 4.693 Å, with angles of 90.00, 90.00 and 90.00 degrees. The asymmetric unit holds Ta at (0.000, 0.500, 0.000), Mn at (0.000, 0.000, 0.500), Ag at (0.500, 0.500, 0.500) and Cl at (0.500, 0.500, 0.000).



[6]
Li4VFe3O8: optimized geometry, GGA-PBEsol.

The density of states at the Fermi level is 19.71 states/eV per cell. As for the calculated total energy: -7.15 eV per atom. The calculation puts the total magnetization at 13.079 μB/f.u. Its energy relative to the lowest polymorph listed for this composition is 24 meV/atom. The formation energy without anion corrections is -28.0 eV per formula unit.

The space group is R-3m (No. 166, hexagonal axes) and the conventional cell measures 5.7960, 5.7960 and 14.4778 Å, with angles of 90.00, 90.00 and 120.00 degrees. The asymmetric unit holds Li at (0.0000, 0.0000, 0.0000), Li at (0.0000, 0.5000, 0.0000), V at (0.0000, 0.0000, 0.5000), Fe at (0.0000, 0.5000, 0.5000), O at (0.0000, 0.0000, 0.2444) and O at (0.0182, 0.5091, 0.2449).



[7]
Mg2FeSiPd: optimized geometry, GGA-PBEsol.

The density of states at the Fermi level is 2.58 states/eV per cell. As for the calculated total energy: -4.31 eV per atom. The calculation puts the total magnetization at 2.099 μB/f.u. The formation energy without anion corrections is 2.5 eV per formula unit.

The space group is P4/mmm (No. 123) and the conventional cell measures 4.780, 4.780 and 4.217 Å, with angles of 90.00, 90.00 and 90.00 degrees. The asymmetric unit holds Mg at (0.000, 0.500, 0.000), Fe at (0.000, 0.000, 0.500), Si at (0.000, 0.000, 0.000) and Pd at (0.500, 0.500, 0.500).



[8]
MnZnMo2: optimized geometry, GGA-PBEsol.

The density of states at the Fermi level is 2.04 states/eV per cell. As for the calculated total energy: -8.55 eV per atom. The calculation puts the total magnetization at 2.741 μB/f.u.

The space group is P4mm (No. 99) and the conventional cell measures 3.136, 3.136 and 5.740 Å, with angles of 90.00, 90.00 and 90.00 degrees. The asymmetric unit holds Mn at (0.000, 0.000, 0.000), Zn at (0.500, 0.500, 0.767), Mo at (0.000, 0.000, 0.500) and Mo at (0.500, 0.500, 0.253).



[9]
K2TlPt: optimized geometry, GGA-PBEsol.

The density of states at the Fermi level is 3.47 states/eV per cell. As for the calculated total energy: -2.97 eV per atom. The calculation puts the total magnetization at 0.000 μB/f.u. Its energy relative to the lowest polymorph listed for this composition is 61 meV/atom.

The space group is Amm2 (No. 38) and the conventional cell measures 4.410, 5.057 and 11.992 Å, with angles of 90.00, 90.00 and 90.00 degrees. The asymmetric unit holds K at (0.000, 0.000, 0.000), K at (0.500, 0.000, 0.293), Tl at (0.500, 0.000, 0.590) and Pt at (0.000, 0.000, 0.715).



[10]
Ba3CaI8: optimized geometry, GGA-PBEsol.

The density of states at the Fermi level is 0.00 states/eV per cell. As for the calculated total energy: -3.58 eV per atom. The calculation puts the total magnetization at 0.000 μB/f.u. The formation energy without anion corrections is -20.3 eV per formula unit.

The space group is I4/mmm (No. 139) and the conventional cell measures 8.067, 8.067 and 16.116 Å, with angles of 90.00, 90.00 and 90.00 degrees. The asymmetric unit holds Ba at (0.000, 0.000, 0.000), Ba at (0.000, 0.500, 0.250), Ca at (0.000, 0.000, 0.500) and I at (0.242, 0.242, 0.379).



[11]
MnZnCu: optimized geometry, GGA-PBEsol.

The density of states at the Fermi level is 8.13 states/eV per cell. As for the calculated total energy: -4.61 eV per atom. The calculation puts the total magnetization at 3.436 μB/f.u.

The space group is F-43m (No. 216) and the conventional cell measures 5.669, 5.669 and 5.669 Å, with angles of 90.00, 90.00 and 90.00 degrees. The asymmetric unit holds Mn at (0.000, 0.000, 0.000), Zn at (0.250, 0.250, 0.750) and Cu at (0.250, 0.250, 0.250).



[12]
ZnTc: optimized geometry, GGA-PBEsol.

The density of states at the Fermi level is 6.86 states/eV per cell. As for the calculated total energy: -6.35 eV per atom. The calculation puts the total magnetization at 0.000 μB/f.u. Its energy relative to the lowest polymorph listed for this composition is 117 meV/atom.

The space group is Fd-3m (No. 227, origin choice 2) and the conventional cell measures 6.015, 6.015 and 6.015 Å, with angles of 90.00, 90.00 and 90.00 degrees. The asymmetric unit holds Zn at (0.125, 0.125, 0.125) and Tc at (0.125, 0.125, 0.625).